No. 1
# Pm3Pd2Pt7

An optimized crystal structure of Pm3Pd2Pt7 (PBE, the Alexandria database).

Cell lengths 5.4479, 5.4479, 26.7920 Å; angles 90.00, 90.00, 120.00 degrees
Space group R-3m (No. 166, hexagonal axes)
One atom of each set of equivalent atoms:
Pm1 0.0000 0.0000 0.0000 [3 per cell]
Pm2 0.0000 0.0000 0.1390 [6 per cell]
Pd1 0.0000 0.0000 0.3330 [6 per cell]
Pt1 0.0000 0.0000 0.5000 [3 per cell]
Pt2 0.0037 0.5019 0.9151 [18 per cell]

DFT total energy ... -6.486 eV per atom
ρ ... 14.6 g/cm3
Size of the total moment ... 0.00 μB/cell
DOS at the Fermi energy ... 10.03 states/eV/f.u.
Energy relative to the elements ... -909 meV per atom

---

No. 2
# Cs2CePd2S4

An optimized crystal structure of Cs2CePd2S4 (PBE, the Alexandria database).

Cell lengths 15.1390, 4.1682, 8.0602 Å; angles 90.00, 107.40, 90.00 degrees
Space group C2/m (No. 12)
One atom of each set of equivalent atoms:
Cs1 0.1365 0.0000 0.0675 [4 per cell]
Ce1 0.0000 0.0000 0.5000 [2 per cell]
Pd1 0.1884 0.5000 0.5062 [4 per cell]
S1 0.0171 0.5000 0.2850 [4 per cell]
S2 0.1913 0.0000 0.6514 [4 per cell]

DFT total energy ... -4.951 eV per atom
ρ ... 5.1 g/cm3
Formation energy without anion corrections ... -1113 meV/atom
Size of the total moment ... 0.00 μB/cell
DOS at the Fermi energy ... 2.38 states/eV/f.u.

---

No. 3
# CaCd23Hg6

An optimized crystal structure of CaCd23Hg6 (PBE, the Alexandria database).

Cell lengths 14.2727, 14.2727, 14.2727 Å; angles 90.00, 90.00, 90.00 degrees
Space group Fm-3m (No. 225)
One atom of each set of equivalent atoms:
Ca1 0.0000 0.0000 0.0000 [4 per cell]
Cd1 0.0000 0.0000 0.5000 [4 per cell]
Cd2 0.0000 0.2500 0.2500 [24 per cell]
Cd3 0.1241 0.1241 0.3759 [32 per cell]
Cd4 0.1517 0.1517 0.1517 [32 per cell]
Hg1 0.0000 0.0000 0.2284 [24 per cell]

DFT total energy ... -0.824 eV per atom
ρ ... 8.7 g/cm3
Size of the total moment ... 0.00 μB/cell
DOS at the Fermi energy ... 13.32 states/eV/f.u.
Energy relative to the elements ... 5 meV per atom

---

No. 4
# TbZr2Hg

An optimized crystal structure of TbZr2Hg (PBE, the Alexandria database).

Cell lengths 4.5331, 4.5331, 4.6054 Å; angles 90.00, 90.00, 90.00 degrees
Space group P4/mmm (No. 123)
One atom of each set of equivalent atoms:
Tb1 0.0000 0.0000 0.0000 [1 per cell]
Zr1 0.0000 0.5000 0.5000 [2 per cell]
Hg1 0.5000 0.5000 0.0000 [1 per cell]

DFT total energy ... -5.569 eV per atom
ρ ... 9.5 g/cm3
Size of the total moment ... 0.00 μB/cell
DOS at the Fermi energy ... 5.48 states/eV/f.u.
Energy relative to the elements ... -62 meV per atom

---

No. 5
# CoPSeBr2

An optimized crystal structure of CoPSeBr2 (PBE, the Alexandria database).

Cell lengths 4.7761, 4.7761, 4.8422 Å; angles 90.00, 90.00, 90.00 degrees
Space group P4/mmm (No. 123)
One atom of each set of equivalent atoms:
Co1 0.0000 0.0000 0.0000 [1 per cell]
P1 0.5000 0.5000 0.5000 [1 per cell]
Se1 0.0000 0.0000 0.5000 [1 per cell]
Br1 0.0000 0.5000 0.0000 [2 per cell]

DFT total energy ... -3.243 eV per atom
ρ ... 4.9 g/cm3
Formation energy without anion corrections ... 626 meV/atom
Size of the total moment ... 0.36 μB/cell
DOS at the Fermi energy ... 5.32 states/eV/f.u.

---

No. 6
# In2SnPb

An optimized crystal structure of In2SnPb (PBE, the Alexandria database).

Cell lengths 7.0429, 7.0429, 12.2404 Å; angles 90.00, 90.00, 90.00 degrees
Space group I-42d (No. 122)
One atom of each set of equivalent atoms:
In1 0.2377 0.2500 0.1250 [8 per cell]
Sn1 0.0000 0.0000 0.0000 [4 per cell]
Pb1 0.0000 0.0000 0.5000 [4 per cell]

DFT total energy ... -3.046 eV per atom
ρ ... 6.1 g/cm3
Size of the total moment ... 0.00 μB/cell
DOS at the Fermi energy ... 2.90 states/eV/f.u.
Energy relative to the elements ... 251 meV per atom